Compound: AcInGe3
Source: the Alexandria database
Functional: PBE
Structure: optimized geometry

## Properties
calculated formation energy	-29	kJ/mol of atoms
VASP energy	-4.436	eV per atom
crystal system	orthorhombic

Cell and atoms, written as CIF:
```
data_AcInGe3
_space_group_name_H-M_alt 'C m c m'
_space_group_IT_number 63
_space_group_name_Hall '-C 2c 2'
_cell_length_a 4.415
_cell_length_b 26.814
_cell_length_c 4.373
_cell_angle_alpha 90.00
_cell_angle_beta 90.00
_cell_angle_gamma 90.00
loop_
_atom_site_label
_atom_site_type_symbol
_atom_site_fract_x
_atom_site_fract_y
_atom_site_fract_z
_atom_site_occupancy
Ac1 Ac 0.000 0.076 0.250 1
In1 In 0.000 0.204 0.750 1
Ge1 Ge 0.000 0.315 0.750 1
Ge2 Ge 0.000 0.377 0.250 1
Ge3 Ge 0.000 0.475 0.250 1
```